First-principles (GGA-PBE) data for CoAgAs2 after structural relaxation, as listed in the Alexandria database.

The structure belongs to space group Fm-3m (No. 225); the cell edges are 6.3575, 6.3575 and 6.3575 Å and the angles 90.00°, 90.00° and 90.00°. The asymmetric unit holds Co at (0.0000, 0.0000, 0.0000), Ag at (0.0000, 0.0000, 0.5000) and As at (0.2500, 0.2500, 0.2500).

The total energy is -4.4904 eV per atom.

***

First-principles (GGA-PBE) data for Cs2FePbCl6 after structural relaxation, as listed in the Alexandria database.

The structure belongs to space group I4/mmm (No. 139); the cell edges are 7.5838, 7.5838 and 10.7815 Å and the angles 90.00°, 90.00° and 90.00°. The asymmetric unit holds Cs at (0.0000, 0.5000, 0.2500), Fe at (0.0000, 0.0000, 0.0000), Pb at (0.0000, 0.0000, 0.5000), Cl at (0.0000, 0.0000, 0.2332) and Cl at (0.2313, 0.2313, 0.0000).

The total energy is -3.8601 eV per atom. Its raw formation energy is -1364 meV per atom.

***

First-principles (GGA-PBE) data for Cd2CuMoCl after structural relaxation, as listed in the Alexandria database.

The structure belongs to space group P4/mmm (No. 123); the cell edges are 5.5957, 5.5957 and 4.8678 Å and the angles 90.00°, 90.00° and 90.00°. The asymmetric unit holds Cd at (0.0000, 0.5000, 0.0000), Cu at (0.0000, 0.0000, 0.5000), Mo at (0.0000, 0.0000, 0.0000) and Cl at (0.5000, 0.5000, 0.5000).

The total energy is -2.7200 eV per atom. Its raw formation energy is 1001 meV per atom.

***

First-principles (GGA-PBE) data for BaNi2Ir after structural relaxation, as listed in the Alexandria database.

The structure belongs to space group Pmmn (No. 59, origin choice 2); the cell edges are 4.2399, 7.0202 and 5.7752 Å and the angles 90.00°, 90.00° and 90.00°. The asymmetric unit holds Ba at (0.2500, 0.2500, 0.0956), Ni at (0.2500, 0.0700, 0.5770) and Ir at (0.2500, 0.7500, 0.4187).

The total energy is -5.6765 eV per atom.

***

First-principles (GGA-PBE) data for Sr2ZrFe after structural relaxation, as listed in the Alexandria database.

The structure belongs to space group P4/mmm (No. 123); the cell edges are 3.4388, 3.4388 and 9.9136 Å and the angles 90.00°, 90.00° and 90.00°. The asymmetric unit holds Sr at (0.0000, 0.0000, 0.2168), Zr at (0.5000, 0.5000, 0.5000) and Fe at (0.5000, 0.5000, 0.0000).

The total energy is -4.3358 eV per atom.

***

First-principles (GGA-PBE) data for Nb2CdP after structural relaxation, as listed in the Alexandria database.

The structure belongs to space group I-42d (No. 122); the cell edges are 3.9264, 3.9264 and 19.6092 Å and the angles 90.00°, 90.00° and 90.00°. The asymmetric unit holds Nb at (0.2350, 0.2500, 0.1250), Cd at (0.0000, 0.0000, 0.5000) and P at (0.0000, 0.0000, 0.0000).

The total energy is -6.2386 eV per atom.

***

First-principles (GGA-PBE) data for NaMn3Pb after structural relaxation, as listed in the Alexandria database.

The structure belongs to space group Pm-3m (No. 221); the cell edges are 5.2539, 5.2539 and 5.2539 Å and the angles 90.00°, 90.00° and 90.00°. The asymmetric unit holds Na at (0.0000, 0.0000, 0.0000), Mn at (0.0000, 0.5000, 0.5000) and Pb at (0.5000, 0.5000, 0.5000).

The total energy is -5.3979 eV per atom.

***

First-principles (GGA-PBE) data for TmSnPb2 after structural relaxation, as listed in the Alexandria database.

The structure belongs to space group R-3m (No. 166, hexagonal axes); the cell edges are 3.4820, 3.4820 and 35.6943 Å and the angles 90.00°, 90.00° and 120.00°. The asymmetric unit holds Tm at (0.0000, 0.0000, 0.0000), Sn at (0.0000, 0.0000, 0.5000) and Pb at (0.0000, 0.0000, 0.0885).

The total energy is -3.8416 eV per atom.

***

First-principles (GGA-PBE) data for TiCrBi3 after structural relaxation, as listed in the Alexandria database.

The structure belongs to space group Pm-3m (No. 221); the cell edges are 5.3616, 5.3616 and 5.3616 Å and the angles 90.00°, 90.00° and 90.00°. The asymmetric unit holds Ti at (0.0000, 0.0000, 0.0000), Cr at (0.5000, 0.5000, 0.5000) and Bi at (0.0000, 0.0000, 0.5000).

The total energy is -4.6866 eV per atom.

***

First-principles (GGA-PBE) data for ZnI2O6 after structural relaxation, as listed in the Alexandria database.

The structure belongs to space group P2_1 (No. 4); the cell edges are 5.5488, 5.3959 and 9.4096 Å and the angles 90.00°, 90.58° and 90.00°. The asymmetric unit holds Zn at (0.2285, 0.0000, 0.2462), I at (0.2662, 0.4316, 0.5641), I at (0.2756, 0.9017, 0.8985), O at (0.0151, 0.7762, 0.3819), O at (0.0986, 0.7132, 0.7707), O at (0.1433, 0.7934, 0.0657), O at (0.3506, 0.2253, 0.4159), O at (0.4425, 0.2207, 0.0967) and O at (0.4687, 0.2878, 0.6973).

The total energy is -4.3712 eV per atom. Its raw formation energy is -580 meV per atom.

***

First-principles (GGA-PBE) data for SrLi2Sm after structural relaxation, as listed in the Alexandria database.

The structure belongs to space group P4/mmm (No. 123); the cell edges are 3.9610, 3.9610 and 8.1038 Å and the angles 90.00°, 90.00° and 90.00°. The asymmetric unit holds Sr at (0.0000, 0.0000, 0.0000), Li at (0.5000, 0.5000, 0.2794) and Sm at (0.0000, 0.0000, 0.5000).

The total energy is -2.4309 eV per atom.

***

First-principles (GGA-PBE) data for SmTh2Ti after structural relaxation, as listed in the Alexandria database.

The structure belongs to space group R-3m (No. 166, hexagonal axes); the cell edges are 3.3486, 3.3486 and 36.0092 Å and the angles 90.00°, 90.00° and 120.00°. The asymmetric unit holds Sm at (0.0000, 0.0000, 0.0000), Th at (0.0000, 0.0000, 0.4205) and Ti at (0.0000, 0.0000, 0.5000).

The total energy is -6.4130 eV per atom.

***

> What is the formula in the second record?

Cs2FePbCl6